Run P
A relaxed structure of HoP3O9. Source: Alexandria via LeMat-Bulk, functional PBE.

Values from the calculation:
Its mass density is 3.4 g/cm3.

a b c (Å): 11.475 20.348 10.216
angles (deg): 90.00 97.75 90.00
Fractional coordinates of all 156 atoms:
Ho1 0.000 0.000 0.000
Ho2 0.000 0.156 0.484
Ho3 0.000 0.344 0.984
Ho4 0.000 0.500 0.500
Ho5 0.000 0.656 0.016
Ho6 0.000 0.844 0.516
Ho7 0.498 0.675 0.024
Ho8 0.498 0.825 0.524
Ho9 0.500 0.000 0.000
Ho10 0.500 0.500 0.500
Ho11 0.502 0.175 0.476
Ho12 0.502 0.325 0.976
P1 0.136 0.720 0.322
P2 0.136 0.780 0.822
P3 0.148 0.117 0.808
P4 0.148 0.383 0.308
P5 0.175 0.043 0.318
P6 0.175 0.457 0.818
P7 0.240 0.227 0.993
P8 0.240 0.273 0.493
P9 0.248 0.611 0.482
P10 0.248 0.889 0.982
P11 0.266 0.553 0.027
P12 0.266 0.947 0.527
P13 0.328 0.710 0.696
P14 0.328 0.790 0.196
P15 0.348 0.124 0.178
P16 0.348 0.376 0.678
P17 0.360 0.062 0.690
P18 0.360 0.438 0.190
P19 0.640 0.562 0.810
P20 0.640 0.938 0.310
P21 0.652 0.624 0.322
P22 0.652 0.876 0.822
P23 0.672 0.210 0.804
P24 0.672 0.290 0.304
P25 0.734 0.053 0.473
P26 0.734 0.447 0.973
P27 0.752 0.111 0.018
P28 0.752 0.389 0.518
P29 0.760 0.727 0.507
P30 0.760 0.773 0.007
P31 0.825 0.543 0.182
P32 0.825 0.957 0.682
P33 0.852 0.617 0.692
P34 0.852 0.883 0.192
P35 0.864 0.220 0.178
P36 0.864 0.280 0.678
O1 0.044 0.685 0.230
O2 0.044 0.815 0.730
O3 0.057 0.121 0.689
O4 0.057 0.379 0.189
O5 0.097 0.740 0.933
O6 0.097 0.760 0.433
O7 0.106 0.018 0.194
O8 0.106 0.482 0.694
O9 0.110 0.076 0.418
O10 0.110 0.424 0.918
O11 0.124 0.068 0.912
O12 0.124 0.432 0.412
O13 0.127 0.583 0.481
O14 0.127 0.917 0.981
O15 0.156 0.591 0.036
O16 0.156 0.909 0.536
O17 0.160 0.219 0.525
O18 0.160 0.281 0.025
O19 0.167 0.189 0.869
O20 0.167 0.311 0.369
O21 0.202 0.733 0.731
O22 0.202 0.767 0.231
O23 0.241 0.671 0.380
O24 0.241 0.829 0.880
O25 0.247 0.173 0.109
O26 0.247 0.327 0.609
O27 0.255 0.516 0.887
O28 0.255 0.984 0.387
O29 0.271 0.004 0.636
O30 0.271 0.496 0.136
O31 0.276 0.092 0.286
O32 0.276 0.408 0.786
O33 0.277 0.106 0.768
O34 0.277 0.394 0.268
O35 0.289 0.642 0.626
O36 0.289 0.858 0.126
O37 0.346 0.567 0.452
O38 0.346 0.933 0.952
O39 0.361 0.245 0.966
O40 0.361 0.255 0.466
O41 0.369 0.744 0.098
O42 0.369 0.756 0.598
O43 0.380 0.590 0.040
O44 0.380 0.910 0.540
O45 0.381 0.075 0.080
O46 0.381 0.425 0.580
O47 0.393 0.102 0.576
O48 0.393 0.398 0.076
O49 0.408 0.696 0.821
O50 0.408 0.804 0.321
O51 0.444 0.162 0.258
O52 0.444 0.338 0.758
O53 0.457 0.037 0.791
O54 0.457 0.463 0.291
O55 0.543 0.537 0.709
O56 0.543 0.963 0.209
O57 0.556 0.662 0.242
O58 0.556 0.838 0.742
O59 0.592 0.196 0.679
O60 0.592 0.304 0.179
O61 0.607 0.602 0.924
O62 0.607 0.898 0.424
O63 0.619 0.575 0.420
O64 0.619 0.925 0.920
O65 0.620 0.090 0.460
O66 0.620 0.410 0.960
O67 0.631 0.244 0.402
O68 0.631 0.256 0.902
O69 0.639 0.745 0.534
O70 0.639 0.755 0.034
O71 0.654 0.067 0.048
O72 0.654 0.433 0.548
O73 0.711 0.142 0.874
O74 0.711 0.358 0.374
O75 0.723 0.606 0.732
O76 0.723 0.894 0.232
O77 0.724 0.592 0.214
O78 0.724 0.908 0.714
O79 0.729 0.504 0.864
O80 0.729 0.996 0.364
O81 0.745 0.016 0.613
O82 0.745 0.484 0.113
O83 0.753 0.673 0.391
O84 0.753 0.827 0.891
O85 0.759 0.171 0.120
O86 0.759 0.329 0.620
O87 0.798 0.233 0.769
O88 0.798 0.267 0.269
O89 0.833 0.689 0.631
O90 0.833 0.811 0.131
O91 0.840 0.719 0.975
O92 0.840 0.781 0.475
O93 0.844 0.091 0.464
O94 0.844 0.409 0.964
O95 0.873 0.083 0.019
O96 0.873 0.417 0.519
O97 0.876 0.568 0.588
O98 0.876 0.932 0.088
O99 0.890 0.576 0.082
O100 0.890 0.924 0.582
O101 0.894 0.518 0.306
O102 0.894 0.982 0.806
O103 0.903 0.240 0.567
O104 0.903 0.260 0.067
O105 0.943 0.621 0.811
O106 0.943 0.879 0.311
O107 0.956 0.185 0.270
O108 0.956 0.315 0.770

***

Run Q
A relaxed structure of HoP3O9. Source: Alexandria via LeMat-Bulk, functional PBE.

Values from the calculation:
Its mass density is 4.0 g/cm3.

a b c (Å): 6.954 6.954 7.212
angles (deg): 90.00 90.00 105.07
Fractional coordinates of all 26 atoms:
Ho1 0.126 0.126 0.000
Ho2 0.874 0.874 0.500
P1 0.250 0.250 0.500
P2 0.308 0.665 0.958
P3 0.335 0.692 0.542
P4 0.665 0.308 0.042
P5 0.692 0.335 0.458
P6 0.750 0.750 0.000
O1 0.132 0.171 0.673
O2 0.171 0.132 0.327
O3 0.171 0.794 0.530
O4 0.206 0.829 0.970
O5 0.211 0.465 0.037
O6 0.252 0.473 0.451
O7 0.371 0.629 0.750
O8 0.465 0.211 0.963
O9 0.473 0.252 0.549
O10 0.527 0.748 0.049
O11 0.535 0.789 0.463
O12 0.629 0.371 0.250
O13 0.748 0.527 0.951
O14 0.789 0.535 0.537
O15 0.794 0.171 0.470
O16 0.829 0.206 0.030
O17 0.829 0.868 0.827
O18 0.868 0.829 0.173

***

Q: Which of them is the least stable? A: run Q.

***

Run P
A relaxed structure of Ho3PdO6. Source: Alexandria via LeMat-Bulk, functional PBE.

Values from the calculation:
Its mass density is 8.1 g/cm3.

a b c (Å): 6.597 6.597 6.597
angles (deg): 92.50 92.50 92.50
Fractional coordinates of all 20 atoms:
Ho1 0.063 0.572 0.751
Ho2 0.249 0.937 0.428
Ho3 0.428 0.249 0.937
Ho4 0.572 0.751 0.063
Ho5 0.751 0.063 0.572
Ho6 0.937 0.428 0.249
Pd1 0.000 0.000 0.000
Pd2 0.500 0.500 0.500
O1 0.034 0.911 0.701
O2 0.089 0.299 0.966
O3 0.175 0.605 0.433
O4 0.299 0.966 0.089
O5 0.395 0.567 0.825
O6 0.433 0.175 0.605
O7 0.567 0.825 0.395
O8 0.605 0.433 0.175
O9 0.701 0.034 0.911
O10 0.825 0.395 0.567
O11 0.911 0.701 0.034
O12 0.966 0.089 0.299

***

Run Q
A relaxed structure of Ho3PdO6. Source: Alexandria via LeMat-Bulk, functional PBE.

Values from the calculation:
Its mass density is 8.6 g/cm3.

a b c (Å): 7.092 7.092 5.503
angles (deg): 90.00 90.00 101.94
Fractional coordinates of all 20 atoms:
Ho1 0.102 0.898 0.500
Ho2 0.175 0.409 0.552
Ho3 0.409 0.175 0.052
Ho4 0.591 0.825 0.552
Ho5 0.825 0.591 0.052
Ho6 0.898 0.102 0.000
Pd1 0.363 0.637 0.059
Pd2 0.637 0.363 0.559
O1 0.095 0.606 0.263
O2 0.144 0.175 0.278
O3 0.175 0.144 0.778
O4 0.279 0.721 0.736
O5 0.394 0.905 0.263
O6 0.476 0.524 0.366
O7 0.524 0.476 0.866
O8 0.606 0.095 0.763
O9 0.721 0.279 0.236
O10 0.825 0.856 0.278
O11 0.856 0.825 0.778
O12 0.905 0.394 0.763

***

Q: Which of them is the least stable? A: run Q.

***

Run P
A relaxed structure of Ho2PdO4. Source: Alexandria via LeMat-Bulk, functional PBE.

Values from the calculation:
Its mass density is 8.9 g/cm3.

a b c (Å): 6.610 6.610 5.586
angles (deg): 90.00 90.00 50.03
Fractional coordinates of all 14 atoms:
Ho1 0.160 0.160 0.000
Ho2 0.340 0.340 0.500
Ho3 0.660 0.660 0.500
Ho4 0.840 0.840 0.000
Pd1 0.000 0.000 0.500
Pd2 0.500 0.500 0.000
O1 0.010 0.490 0.750
O2 0.174 0.826 0.826
O3 0.326 0.674 0.326
O4 0.490 0.010 0.250
O5 0.510 0.990 0.750
O6 0.674 0.326 0.674
O7 0.826 0.174 0.174
O8 0.990 0.510 0.250

***

Run Q
A relaxed structure of Ho2PdO4. Source: Alexandria via LeMat-Bulk, functional PBE.

Values from the calculation:
Its mass density is 8.0 g/cm3.

a b c (Å): 5.971 5.971 5.801
angles (deg): 114.53 114.53 33.84
Fractional coordinates of all 7 atoms:
Ho1 0.213 0.213 0.219
Ho2 0.787 0.787 0.781
Pd1 0.500 0.500 0.500
O1 0.160 0.160 0.802
O2 0.369 0.369 0.651
O3 0.631 0.631 0.349
O4 0.840 0.840 0.198

***

Q: Which of them is the least stable? A: run Q.

***

Run P
A relaxed structure of PmHo2O. Source: Alexandria via LeMat-Bulk, functional PBE.

Values from the calculation:
Its mass density is 8.7 g/cm3.

a b c (Å): 9.016 9.016 9.016
angles (deg): 22.40 22.40 22.40
Fractional coordinates of all 4 atoms:
Pm1 0.000 0.000 0.000
Ho1 0.218 0.218 0.218
Ho2 0.782 0.782 0.782
O1 0.500 0.500 0.500

***

Run Q
A relaxed structure of PmHo2O. Source: Alexandria via LeMat-Bulk, functional PBE.

Values from the calculation:
Its mass density is 9.1 g/cm3.

a b c (Å): 3.192 3.192 8.769
angles (deg): 90.00 90.00 90.00
Fractional coordinates of all 4 atoms:
Pm1 0.000 0.000 0.000
Ho1 0.500 0.500 0.325
Ho2 0.500 0.500 0.675
O1 0.000 0.000 0.500

***

Q: Which of them is the least stable? A: run Q.

***

Run P
A relaxed structure of Pr2HoO. Source: Alexandria via LeMat-Bulk, functional PBE.

Values from the calculation:
Its mass density is 7.8 g/cm3.

a b c (Å): 3.279 3.279 9.168
angles (deg): 90.00 90.00 90.00
Fractional coordinates of all 4 atoms:
Pr1 0.000 0.000 0.172
Pr2 0.000 0.000 0.828
Ho1 0.500 0.500 0.500
O1 0.500 0.500 0.000

***

Run Q
A relaxed structure of Pr2HoO. Source: Alexandria via LeMat-Bulk, functional PBE.

Values from the calculation:
Its mass density is 7.1 g/cm3.

a b c (Å): 9.580 9.580 9.580
angles (deg): 22.06 22.06 22.06
Fractional coordinates of all 4 atoms:
Pr1 0.118 0.118 0.118
Pr2 0.882 0.882 0.882
Ho1 0.000 0.000 0.000
O1 0.500 0.500 0.500

***

Q: Which of them is the least stable? A: run P.

***

Run P
A relaxed structure of Ho2PuO. Source: Alexandria via LeMat-Bulk, functional PBE.

Values from the calculation:
Its mass density is 11.0 g/cm3.

a b c (Å): 8.919 8.919 8.919
angles (deg): 22.19 22.19 22.19
Fractional coordinates of all 4 atoms:
Ho1 0.221 0.221 0.221
Ho2 0.779 0.779 0.779
Pu1 0.000 0.000 0.000
O1 0.500 0.500 0.500

***

Run Q
A relaxed structure of Ho2PuO. Source: Alexandria via LeMat-Bulk, functional PBE.

Values from the calculation:
Its mass density is 11.8 g/cm3.

a b c (Å): 3.093 3.093 8.661
angles (deg): 90.00 90.00 90.00
Fractional coordinates of all 4 atoms:
Ho1 0.000 0.000 0.180
Ho2 0.000 0.000 0.820
Pu1 0.500 0.500 0.500
O1 0.500 0.500 0.000

***

Q: Which of them is the least stable? A: run Q.

***

Run P
A relaxed structure of HoPuO. Source: Alexandria via LeMat-Bulk, functional PBE.

Values from the calculation:
Its mass density is 11.9 g/cm3.

a b c (Å): 6.882 5.721 6.013
angles (deg): 90.00 90.00 90.00
Fractional coordinates of all 12 atoms:
Ho1 0.120 0.002 0.000
Ho2 0.380 0.002 0.500
Ho3 0.620 0.998 0.000
Ho4 0.880 0.998 0.500
Pu1 0.123 0.493 0.322
Pu2 0.377 0.493 0.822
Pu3 0.623 0.507 0.322
Pu4 0.877 0.507 0.822
O1 0.126 0.242 0.659
O2 0.374 0.242 0.159
O3 0.626 0.758 0.659
O4 0.874 0.758 0.159

***

Run Q
A relaxed structure of HoPuO. Source: Alexandria via LeMat-Bulk, functional PBE.

Values from the calculation:
Its mass density is 11.4 g/cm3.

a b c (Å): 3.442 3.442 6.021
angles (deg): 90.00 90.00 120.00
Fractional coordinates of all 3 atoms:
Ho1 0.000 0.000 0.000
Pu1 0.667 0.333 0.529
O1 0.333 0.667 0.779

***

Q: Which of them is the least stable? A: run Q.